This record from Alexandria via LeMat-Bulk describes VCdAu after structural relaxation. The functional is PBE.

DFT formation energy (meV/atom): 89
Total moment (μB per cell): 0.00
ΔE to the lowest computed polymorph (meV per atom): 111
Raw total energy (eV per atom): -4.348

```
VCdAu
1.0
6.0850 0.0000 0.0093
0.0000 3.1429 0.0000
-3.3555 0.0000 11.1218
V Cd Au
4 4 4
Direct
0.8631 0.5000 0.1944
0.8631 0.0000 0.6944
0.1369 0.5000 0.8056
0.1369 0.0000 0.3056
0.5000 0.0000 0.0000
0.5000 0.5000 0.5000
0.0000 0.0000 0.0000
0.0000 0.5000 0.5000
0.3294 0.0000 0.6707
0.6706 0.0000 0.3293
0.6706 0.5000 0.8293
0.3294 0.5000 0.1707
```